Record 1
VASP calculation (PBE) on a relaxed structure of CuAgSe2.

Properties
The calculation puts the size of the total moment at 0.0 μB/f.u. The formation energy (no corrections) is -0.09 eV/atom.

a = 4.3580 Å, b = 4.3580 Å, c = 6.4976 Å
α = 69.02°, β = 69.02°, γ = 49.01°
Closest atoms and distances in Å follow each position.
Fractional positions:
Cu: 0.2500 0.2500 0.2500  4 Se 2.39
Se: 0.5839 0.5839 0.4802  2 Cu 2.39, 1 Ag 2.57
Ag: 0.7500 0.7500 0.7500  2 Se 2.57
Se: 0.9161 0.9161 0.0198  2 Cu 2.39, 1 Ag 2.57


Record 2
VASP calculation (PBE) on a relaxed structure of CuAgSe2.

Properties
The calculation puts the size of the total moment at 0.0 μB/f.u. The formation energy (no corrections) is 0.26 eV/atom.

a = 5.1592 Å, b = 5.1592 Å, c = 2.8157 Å
α = 90.00°, β = 90.00°, γ = 89.83°
Closest atoms and distances in Å follow each position.
Fractional positions:
Ag: 0.5000 0.0000 0.5000  2 Ag 2.82, 8 Se 2.94
Se: 0.5000 0.5000 0.0000  2 Se 2.82, 4 Ag 2.94, 4 Cu 2.94
Se: 0.0000 0.0000 0.0000  2 Se 2.82, 4 Cu 2.94, 4 Ag 2.94
Cu: 0.0000 0.5000 0.5000  2 Cu 2.82, 8 Se 2.94


> formation energy (no corrections) of number 2 (CuAgSe2)?

0.26 eV/atom


> Among the records above, which one has the highest formation energy (no corrections)?

number 2


> Among the records above, which one has the highest formation energy (no corrections)?

number 2